1.
{"formula": "Sr11C2N10", "functional": "PBEsol", "state": "relaxed", "cell": [[3.834, 0.000, 0.000], [0.000, 15.281, 0.000], [0.000, 0.000, 15.281]], "species": ["Sr", "Sr", "Sr", "Sr", "Sr", "Sr", "Sr", "Sr", "Sr", "Sr", "Sr", "Sr", "Sr", "Sr", "Sr", "Sr", "Sr", "Sr", "Sr", "Sr", "Sr", "Sr", "C", "C", "C", "C", "N", "N", "N", "N", "N", "N", "N", "N", "N", "N", "N", "N", "N", "N", "N", "N", "N", "N", "N", "N"], "frac_coords": [[0.500, 0.500, 0.500], [0.000, 0.000, 0.000], [0.500, 0.979, 0.795], [0.500, 0.021, 0.205], [0.000, 0.521, 0.295], [0.000, 0.479, 0.705], [0.500, 0.795, 0.979], [0.500, 0.205, 0.021], [0.000, 0.295, 0.521], [0.000, 0.705, 0.479], [0.500, 0.671, 0.671], [0.500, 0.329, 0.329], [0.000, 0.829, 0.171], [0.000, 0.171, 0.829], [0.500, 0.382, 0.888], [0.500, 0.618, 0.112], [0.000, 0.118, 0.388], [0.000, 0.882, 0.612], [0.500, 0.888, 0.382], [0.500, 0.112, 0.618], [0.000, 0.388, 0.118], [0.000, 0.612, 0.882], [0.500, 0.318, 0.682], [0.500, 0.682, 0.318], [0.000, 0.182, 0.182], [0.000, 0.818, 0.818], [0.500, 0.091, 0.909], [0.500, 0.909, 0.091], [0.000, 0.409, 0.409], [0.000, 0.591, 0.591], [0.500, 0.467, 0.190], [0.500, 0.533, 0.810], [0.000, 0.033, 0.690], [0.000, 0.967, 0.310], [0.500, 0.190, 0.467], [0.500, 0.810, 0.533], [0.000, 0.690, 0.033], [0.000, 0.310, 0.967], [0.500, 0.261, 0.739], [0.500, 0.739, 0.261], [0.000, 0.239, 0.239], [0.000, 0.761, 0.761], [0.500, 0.376, 0.624], [0.500, 0.624, 0.376], [0.000, 0.124, 0.124], [0.000, 0.876, 0.876]], "formation_energy_uncorrected_ev_per_atom": -0.75, "magmom_total_mub_per_cell": 0.00}

=====

2.
{"formula": "Li2CuAu", "functional": "PBEsol", "state": "relaxed", "cell": [[2.714, 0.000, 0.000], [0.000, 4.636, 0.015], [-1.357, -0.738, 4.415]], "species": ["Au", "Cu", "Li", "Li"], "frac_coords": [[0.495, 0.499, 0.991], [0.753, 0.252, 0.506], [0.009, 0.012, 0.019], [0.242, 0.737, 0.485]], "dos_ef_per_ev_cell": 1.08, "formation_enthalpy_0k_ev_per_fu": -0.95, "magmom_total_mub_per_cell": 0.00}

=====

3.
{"formula": "PmHo3", "functional": "PBEsol", "state": "relaxed", "cell": [[5.571, 0.000, 0.000], [0.000, 7.080, 0.000], [0.000, -3.540, 6.132]], "species": ["Pm", "Pm", "Ho", "Ho", "Ho", "Ho", "Ho", "Ho"], "frac_coords": [[0.750, 0.333, 0.667], [0.250, 0.667, 0.333], [0.250, 0.668, 0.834], [0.250, 0.166, 0.332], [0.250, 0.166, 0.834], [0.750, 0.332, 0.166], [0.750, 0.834, 0.668], [0.750, 0.834, 0.166]], "dos_ef_per_ev_cell": 13.37, "polymorph_energy_ev_per_atom": 0.0025, "formation_enthalpy_0k_ev_per_fu": 0.07, "magmom_total_mub_per_cell": 0.00}

=====

4.
{"formula": "ReTcW2I", "functional": "PBEsol", "state": "relaxed", "cell": [[4.727, 0.000, 0.000], [0.000, 4.727, 0.000], [0.000, 0.000, 5.130]], "species": ["I", "Re", "Tc", "W", "W"], "frac_coords": [[0.000, 0.000, 0.500], [0.000, 0.000, 0.000], [0.500, 0.500, 0.500], [0.000, 0.500, 0.000], [0.500, 0.000, 0.000]], "dos_ef_per_ev_cell": 5.91, "formation_energy_uncorrected_ev_per_atom": 2.71, "magmom_total_mub_per_cell": 1.55}

=====

5.
{"formula": "SrIF2", "functional": "PBEsol", "state": "relaxed", "cell": [[-2.815, -3.789, -5.631], [6.041, 2.059, 0.389], [5.945, -4.318, -0.066]], "species": ["I", "I", "Sr", "Sr", "F", "F", "F", "F"], "frac_coords": [[0.750, 0.500, 0.750], [0.000, 0.000, 0.000], [0.250, 0.500, 0.250], [0.500, 0.000, 0.500], [0.235, 0.750, 0.875], [0.515, 0.750, 0.375], [0.375, 0.250, 0.235], [0.875, 0.250, 0.515]], "dos_ef_per_ev_cell": 2.29, "polymorph_energy_ev_per_atom": 0.0148, "formation_energy_uncorrected_ev_per_atom": -2.43, "magmom_total_mub_per_cell": 2.05}

=====

6.
{"formula": "Na3Mn2P2C2O14", "functional": "PBEsol", "state": "relaxed", "cell": [[6.462, 0.000, 0.000], [0.000, 8.947, -0.042], [0.000, -0.322, 10.193]], "species": ["Na", "Na", "Na", "Na", "Na", "Na", "Mn", "Mn", "Mn", "Mn", "P", "P", "P", "P", "C", "C", "C", "C", "O", "O", "O", "O", "O", "O", "O", "O", "O", "O", "O", "O", "O", "O", "O", "O", "O", "O", "O", "O", "O", "O", "O", "O", "O", "O", "O", "O"], "frac_coords": [[0.538, 0.762, 0.618], [0.985, 0.765, 0.126], [0.510, 0.767, 0.118], [0.485, 0.235, 0.874], [0.010, 0.233, 0.882], [0.038, 0.238, 0.382], [0.242, 0.651, 0.890], [0.246, 0.652, 0.398], [0.746, 0.348, 0.602], [0.742, 0.349, 0.110], [0.745, 0.570, 0.860], [0.752, 0.574, 0.359], [0.252, 0.426, 0.641], [0.245, 0.430, 0.140], [0.247, 0.912, 0.857], [0.254, 0.913, 0.361], [0.754, 0.087, 0.639], [0.747, 0.088, 0.143], [0.747, 0.953, 0.660], [0.748, 0.951, 0.159], [0.240, 0.851, 0.973], [0.258, 0.851, 0.476], [0.253, 0.808, 0.764], [0.254, 0.804, 0.267], [0.935, 0.664, 0.901], [0.554, 0.666, 0.898], [0.943, 0.672, 0.385], [0.559, 0.666, 0.396], [0.742, 0.530, 0.710], [0.262, 0.574, 0.568], [0.743, 0.535, 0.207], [0.244, 0.580, 0.067], [0.744, 0.420, 0.933], [0.243, 0.465, 0.793], [0.762, 0.426, 0.432], [0.242, 0.470, 0.290], [0.443, 0.328, 0.615], [0.059, 0.334, 0.604], [0.435, 0.336, 0.099], [0.054, 0.334, 0.102], [0.754, 0.196, 0.733], [0.753, 0.192, 0.236], [0.758, 0.149, 0.524], [0.740, 0.149, 0.027], [0.248, 0.049, 0.841], [0.247, 0.047, 0.340]], "dos_ef_per_ev_cell": 2.88, "formation_energy_uncorrected_ev_per_atom": -1.85, "magmom_total_mub_per_cell": 14.00}

=====

7.
{"formula": "ReTc2Hg", "functional": "PBEsol", "state": "relaxed", "cell": [[2.953, 0.000, 0.000], [0.000, 4.650, 0.000], [-1.477, -2.325, 4.604]], "species": ["Hg", "Re", "Tc", "Tc"], "frac_coords": [[0.000, 0.500, 0.000], [0.500, 0.000, 0.000], [0.776, 0.776, 0.553], [0.224, 0.224, 0.447]], "dos_ef_per_ev_cell": 2.85, "formation_enthalpy_0k_ev_per_fu": 2.41, "magmom_total_mub_per_cell": 0.00}

=====

8.
{"formula": "CaBe2Ge2", "functional": "PBEsol", "state": "relaxed", "cell": [[3.970, 0.000, 0.000], [0.000, 3.970, 0.000], [-1.985, -1.985, 4.955]], "species": ["Be", "Be", "Ge", "Ge", "Ca"], "frac_coords": [[0.250, 0.750, 0.500], [0.750, 0.250, 0.500], [0.373, 0.373, 0.747], [0.627, 0.627, 0.253], [0.000, 0.000, 0.000]], "dos_ef_per_ev_cell": 1.04, "polymorph_energy_ev_per_atom": 0.0256, "formation_enthalpy_0k_ev_per_fu": -1.44, "magmom_total_mub_per_cell": 0.00}